No. 1
Entry from Alexandria via LeMat-Bulk: a PBEsol-optimized structure of SrBrOF2 (meta-GGA SCAN).

Values from the calculation:
Formation energy from raw total energies = -37.0 kcal/mol of atoms
Space group = P4/mmm (123)
ΔE to the lowest computed polymorph = 0.0000 eV/atom
Calculated density = 3.4 Mg/m³

abc: 4.599 4.599 5.134
angles: 90.00 90.00 90.00
Last column: magnetic moment on the atom in μB.
Fractional positions:
O1 0.000 0.000 0.500  1.37
F1 0.500 0.000 0.000  0.10
F2 0.000 0.500 0.000  0.10
Br1 0.500 0.500 0.500  0.82
Sr1 0.000 0.000 0.000  -0.01


No. 2
Entry from Alexandria via LeMat-Bulk: a PBEsol-optimized structure of TaBrOF2 (meta-GGA SCAN).

Values from the calculation:
Formation energy from raw total energies = -46.9 kcal/mol of atoms
Space group = P4/mmm (123)
Calculated density = 7.8 Mg/m³

abc: 3.884 4.166 4.166
angles: 90.00 90.00 90.00
Fractional positions:
F1 0.000 0.000 0.500
F2 0.000 0.500 0.000
O1 0.500 0.000 0.000
Br1 0.500 0.500 0.500
Ta1 0.000 0.000 0.000


No. 3
Entry from Alexandria via LeMat-Bulk: a PBEsol-optimized structure of TaBrO2F (meta-GGA SCAN).

Values from the calculation:
Formation energy from raw total energies = 18.2 kcal/mol of atoms
Space group = P4/mmm (123)
Calculated density = 7.0 Mg/m³

abc: 3.812 3.812 5.095
angles: 90.00 90.00 90.00
Last column: magnetic moment on the atom in μB.
Fractional positions:
O1 0.000 0.500 0.000  0.02
O2 0.500 0.000 0.000  0.02
F1 0.000 0.000 0.500  0.04
Br1 0.000 0.000 0.000  -0.01
Ta1 0.500 0.500 0.500  2.17


What did we get for E_tot? Answer: -12.612, -21.906, -19.619 eV/atom, in the order shown.